Entry P
VASP calculation (PBE) on a relaxed structure of Na3CuW.

The volume comes out at 29.76 Å³/atom. The value obtained for the size of the total moment is 0.956 μB/atom.

It has space group Pm-3m (No. 221), with a = 5.2989 Å, b = 5.2989 Å, c = 5.2989 Å, α = 90.00°, β = 90.00° and γ = 90.00°. The asymmetric unit holds Na at (0.0000, 0.0000, 0.5000), Cu at (0.0000, 0.0000, 0.0000) and W at (0.5000, 0.5000, 0.5000).

***

Entry Q
VASP calculation (PBE) on a relaxed structure of Na3CuW.

The volume comes out at 41.45 Å³/atom. The value obtained for the size of the total moment is 1.151 μB/atom.

It has space group Pm-3m (No. 221), with a = 5.9181 Å, b = 5.9181 Å, c = 5.9181 Å, α = 90.00°, β = 90.00° and γ = 90.00°. The asymmetric unit holds Na at (0.0000, 0.0000, 0.5000), Cu at (0.5000, 0.5000, 0.5000) and W at (0.0000, 0.0000, 0.0000).

***

Q: What are the energies relative to the best structure? A: entry P 0; entry Q 307, in meV/atom.